# 1
# HfAlTc, optimized geometry, DFT GGA-PBE
data_HfAlTc
_cell_length_a 4.369
_cell_length_b 4.369
_cell_length_c 4.369
_cell_angle_alpha 60.00
_cell_angle_beta 60.00
_cell_angle_gamma 60.00
_symmetry_space_group_name_H-M 'P 1'
_symmetry_Int_Tables_number 1
loop_
_symmetry_equiv_pos_as_xyz
'x,y,z'
loop_
_atom_site_label
_atom_site_type_symbol
_atom_site_fract_x
_atom_site_fract_y
_atom_site_fract_z
Hf1 Hf 0.000 0.000 0.000
Al1 Al 0.500 0.500 0.500
Tc1 Tc 0.750 0.750 0.750
# Total moment: 0.006 μB per cell
# Crystal system: cubic
# Final energy: -24.09 eV per cell
# Space group: F-43m, No. 216



# 2
# Zn2W8C3N3, optimized geometry, DFT GGA-PBE
data_Zn2W8C3N3
_cell_length_a 2.892
_cell_length_b 2.892
_cell_length_c 25.868
_cell_angle_alpha 90.00
_cell_angle_beta 90.00
_cell_angle_gamma 120.00
_symmetry_space_group_name_H-M 'P 1'
_symmetry_Int_Tables_number 1
loop_
_symmetry_equiv_pos_as_xyz
'x,y,z'
loop_
_atom_site_label
_atom_site_type_symbol
_atom_site_fract_x
_atom_site_fract_y
_atom_site_fract_z
Zn1 Zn 0.333 0.667 0.246
Zn2 Zn 0.667 0.333 0.754
W1 W 0.000 0.000 0.159
W2 W 0.000 0.000 0.331
W3 W 0.000 0.000 0.669
W4 W 0.000 0.000 0.841
W5 W 0.333 0.667 0.054
W6 W 0.333 0.667 0.443
W7 W 0.667 0.333 0.557
W8 W 0.667 0.333 0.946
C1 C 0.000 0.000 0.000
C2 C 0.333 0.667 0.891
C3 C 0.667 0.333 0.109
N1 N 0.000 0.000 0.500
N2 N 0.333 0.667 0.615
N3 N 0.667 0.333 0.385
# Total moment: 0.005 μB per cell
# Crystal system: trigonal
# Final energy: -155.32 eV per cell
# Space group: P-3m1, No. 164



# 3
# Sr2FePtN6, optimized geometry, DFT GGA-PBE
data_Sr2FePtN6
_cell_length_a 5.516
_cell_length_b 5.527
_cell_length_c 5.530
_cell_angle_alpha 61.32
_cell_angle_beta 60.44
_cell_angle_gamma 60.63
_symmetry_space_group_name_H-M 'P 1'
_symmetry_Int_Tables_number 1
loop_
_symmetry_equiv_pos_as_xyz
'x,y,z'
loop_
_atom_site_label
_atom_site_type_symbol
_atom_site_fract_x
_atom_site_fract_y
_atom_site_fract_z
Sr1 Sr 0.250 0.248 0.251
Sr2 Sr 0.750 0.752 0.749
Fe1 Fe 0.000 0.000 0.000
Pt1 Pt 0.500 0.500 0.500
N1 N 0.209 0.778 0.275
N2 N 0.237 0.705 0.814
N3 N 0.278 0.204 0.735
N4 N 0.722 0.796 0.265
N5 N 0.763 0.295 0.186
N6 N 0.791 0.222 0.725
# Total moment: 7.938 μB per cell
# Crystal system: triclinic
# Final energy: -61.91 eV per cell
# Space group: P-1, No. 2



# 4
# PrHoSi4Ni2, optimized geometry, DFT GGA-PBE
data_PrHoSi4Ni2
_cell_length_a 4.028
_cell_length_b 8.438
_cell_length_c 8.438
_cell_angle_alpha 28.00
_cell_angle_beta 90.00
_cell_angle_gamma 90.00
_symmetry_space_group_name_H-M 'P 1'
_symmetry_Int_Tables_number 1
loop_
_symmetry_equiv_pos_as_xyz
'x,y,z'
loop_
_atom_site_label
_atom_site_type_symbol
_atom_site_fract_x
_atom_site_fract_y
_atom_site_fract_z
Pr1 Pr 0.000 0.000 0.000
Ho1 Ho 0.500 0.212 0.212
Si1 Si 0.000 0.353 0.353
Si2 Si 0.000 0.647 0.647
Si3 Si 0.500 0.567 0.567
Si4 Si 0.500 0.854 0.854
Ni1 Ni 0.000 0.784 0.784
Ni2 Ni 0.500 0.424 0.424
# Total moment: 0.000 μB per cell
# Crystal system: orthorhombic
# Final energy: -48.71 eV per cell
# Space group: Amm2, No. 38



# 5
# KTcAgSe3, optimized geometry, DFT GGA-PBE
data_KTcAgSe3
_cell_length_a 7.807
_cell_length_b 7.807
_cell_length_c 10.226
_cell_angle_alpha 90.00
_cell_angle_beta 90.00
_cell_angle_gamma 151.72
_symmetry_space_group_name_H-M 'P 1'
_symmetry_Int_Tables_number 1
loop_
_symmetry_equiv_pos_as_xyz
'x,y,z'
loop_
_atom_site_label
_atom_site_type_symbol
_atom_site_fract_x
_atom_site_fract_y
_atom_site_fract_z
K1 K 0.244 0.756 0.750
K2 K 0.756 0.244 0.250
Tc1 Tc 0.000 0.000 0.000
Tc2 Tc 0.000 0.000 0.500
Ag1 Ag 0.450 0.550 0.250
Ag2 Ag 0.550 0.450 0.750
Se1 Se 0.069 0.931 0.250
Se2 Se 0.382 0.618 0.022
Se3 Se 0.382 0.618 0.478
Se4 Se 0.618 0.382 0.522
Se5 Se 0.618 0.382 0.978
Se6 Se 0.931 0.069 0.750
# Total moment: 5.210 μB per cell
# Crystal system: orthorhombic
# Final energy: -53.38 eV per cell
# Space group: Cmcm, No. 63



# 6
# LiFe2B2, optimized geometry, DFT GGA-PBE
data_LiFe2B2
_cell_length_a 4.833
_cell_length_b 4.833
_cell_length_c 4.833
_cell_angle_alpha 139.03
_cell_angle_beta 139.03
_cell_angle_gamma 59.33
_symmetry_space_group_name_H-M 'P 1'
_symmetry_Int_Tables_number 1
loop_
_symmetry_equiv_pos_as_xyz
'x,y,z'
loop_
_atom_site_label
_atom_site_type_symbol
_atom_site_fract_x
_atom_site_fract_y
_atom_site_fract_z
Li1 Li 0.000 0.000 0.000
Fe1 Fe 0.250 0.750 0.500
Fe2 Fe 0.750 0.250 0.500
B1 B 0.394 0.394 0.000
B2 B 0.606 0.606 0.000
# Total moment: 2.819 μB per cell
# Crystal system: tetragonal
# Final energy: -32.22 eV per cell
# Space group: I4/mmm, No. 139